Below is a relaxed K2CoBiF6 crystal, with properties calculated at the PBE+U level.

Magnetic moment: 7.92 Bohr magnetons per cell
Electronic total energy: -90.0 eV per cell

Cell lengths 5.753, 6.992, 8.774 Å; angles 90.00, 90.00, 90.00 degrees
Site moments in Bohr magnetons follow the coordinates.
Fractional coordinates of all 20 atoms:
K 0.500 0.808 0.226  0.01
K 0.000 0.192 0.726  0.01
K 0.500 0.808 0.774  0.01
K 0.000 0.192 0.274  0.01
Co 0.500 0.220 0.500  2.77
Co 0.000 0.780 0.000  2.77
Bi 0.000 0.709 0.500  0.54
Bi 0.500 0.291 0.000  0.54
F 0.500 0.214 0.254  0.03
F 0.500 0.214 0.746  0.03
F 0.000 0.786 0.246  0.03
F 0.000 0.786 0.754  0.03
F 0.252 0.010 0.500  0.06
F 0.748 0.010 0.500  0.06
F 0.237 0.408 0.500  0.06
F 0.763 0.408 0.500  0.06
F 0.737 0.592 0.000  0.06
F 0.263 0.592 0.000  0.06
F 0.248 0.990 0.000  0.06
F 0.752 0.990 0.000  0.06